LiFe2Hg | PBE | optimized geometry

a = 2.764 Å, b = 2.764 Å, c = 7.821 Å
α = 90.00°, β = 90.00°, γ = 89.88°
Positions (direct):
Fe  0.000  0.000  0.522
Fe  0.000  0.000  0.978
Hg  0.500  0.500  0.250
Li  0.500  0.500  0.750

Values from the calculation:
Electronic total energy (eV/cell): -17.18
Theoretical density (g/cm3): 8.9
Calculated formation energy (eV per formula unit): 2.0

Tb3Pm6HoTh2 | PBE | optimized geometry

a = 6.238 Å, b = 6.238 Å, c = 11.993 Å
α = 94.99°, β = 94.99°, γ = 119.92°
Positions (direct):
Th  0.334  0.666  0.000
Th  0.666  0.334  0.000
Tb  0.167  0.833  0.500
Tb  0.500  0.500  0.500
Tb  0.833  0.167  0.500
Ho  0.000  0.000  0.000
Pm  0.581  0.917  0.753
Pm  0.746  0.746  0.248
Pm  0.083  0.419  0.247
Pm  0.419  0.083  0.247
Pm  0.917  0.581  0.753
Pm  0.254  0.254  0.752

Values from the calculation:
Electronic total energy (eV/cell): -61.40
Theoretical density (g/cm3): 8.2
Calculated formation energy (eV per formula unit): 0.4

ZrScNi | PBE | optimized geometry

a = 5.128 Å, b = 5.128 Å, c = 5.495 Å
α = 104.24°, β = 104.24°, γ = 118.23°
Positions (direct):
Sc  0.842  0.842  0.684
Sc  0.158  0.158  0.316
Zr  0.669  0.331  0.000
Zr  0.331  0.669  0.000
Ni  0.250  0.750  0.500
Ni  0.750  0.250  0.500

Values from the calculation:
Electronic total energy (eV/cell): -43.13
Theoretical density (g/cm3): 5.8
Calculated formation energy (eV per formula unit): -0.9

BeFeOs | PBE | optimized geometry

a = 4.266 Å, b = 4.267 Å, c = 5.216 Å
α = 107.49°, β = 72.53°, γ = 61.16°
Positions (direct):
Be  0.859  0.330  0.918
Be  0.868  0.339  0.418
Os  0.202  0.672  0.918
Os  0.526  0.996  0.418
Fe  0.532  0.002  0.918
Fe  0.196  0.667  0.418

Values from the calculation:
Electronic total energy (eV/cell): -46.74
Theoretical density (g/cm3): 12.6
Calculated formation energy (eV per formula unit): 0.0

BaMg2Fe | PBE | optimized geometry

a = 6.674 Å, b = 6.674 Å, c = 3.287 Å
α = 77.29°, β = 77.29°, γ = 124.63°
Positions (direct):
Mg  0.500  0.500  0.000
Mg  0.000  0.000  0.000
Fe  0.000  0.500  0.500
Ba  0.500  0.000  0.500

Values from the calculation:
Electronic total energy (eV/cell): -11.13
Theoretical density (g/cm3): 3.8
Calculated formation energy (eV per formula unit): 2.4

KAg2Se2 | PBE | optimized geometry

a = 5.228 Å, b = 5.228 Å, c = 6.263 Å
α = 65.33°, β = 65.33°, γ = 90.00°
Positions (direct):
Ag  0.681  0.681  0.638
Ag  0.319  0.319  0.362
Se  0.250  0.750  0.500
Se  0.750  0.250  0.500
K  0.000  0.000  0.000

Values from the calculation:
Electronic total energy (eV/cell): -15.54
Theoretical density (g/cm3): 5.0
Uncorrected formation energy (eV/atom): -0.35

HoPa2Pb | PBE | optimized geometry

a = 5.374 Å, b = 5.374 Å, c = 5.374 Å
α = 60.00°, β = 60.00°, γ = 60.00°
Positions (direct):
Pa  0.250  0.250  0.250
Pa  0.750  0.750  0.750
Pb  0.000  0.000  0.000
Ho  0.500  0.500  0.500

Values from the calculation:
Electronic total energy (eV/cell): -25.68
Theoretical density (g/cm3): 12.6
Calculated formation energy (eV per formula unit): 1.6

TaSbHI2 | PBE | optimized geometry

a = 5.330 Å, b = 3.843 Å, c = 5.330 Å
α = 90.00°, β = 90.00°, γ = 90.00°
Positions (direct):
Ta  0.500  0.500  0.500
I  0.500  0.000  0.000
I  0.000  0.000  0.500
Sb  0.000  0.500  0.000
H  0.000  0.000  0.000

Values from the calculation:
Electronic total energy (eV/cell): -17.47
Theoretical density (g/cm3): 8.5

BeTcMo2 | PBE | optimized geometry

a = 3.164 Å, b = 3.164 Å, c = 5.564 Å
α = 90.00°, β = 90.00°, γ = 90.00°
Positions (direct):
Be  0.500  0.500  0.750
Mo  0.000  0.000  0.973
Mo  0.000  0.000  0.527
Tc  0.500  0.500  0.250

Values from the calculation:
Electronic total energy (eV/cell): -35.41
Theoretical density (g/cm3): 8.9
Calculated formation energy (eV per formula unit): 0.3

ScGaBr | PBE | optimized geometry

a = 3.462 Å, b = 3.462 Å, c = 7.338 Å
α = 88.62°, β = 89.46°, γ = 60.01°
Positions (direct):
Sc  0.468  0.137  0.102
Ga  0.803  0.454  0.380
Br  0.133  0.817  0.853

Values from the calculation:
Electronic total energy (eV/cell): -13.00
Theoretical density (g/cm3): 4.2
Uncorrected formation energy (eV/atom): -0.66

Sm6TlSi2I3 | PBE | optimized geometry

a = 4.282 Å, b = 9.231 Å, c = 10.084 Å
α = 105.28°, β = 102.26°, γ = 90.00°
Positions (direct):
Sm  0.663  0.132  0.326
Sm  0.983  0.752  0.965
Sm  0.320  0.440  0.641
Sm  0.680  0.560  0.359
Sm  0.337  0.868  0.674
Sm  0.017  0.248  0.035
Si  0.168  0.343  0.337
Si  0.832  0.657  0.663
I  0.834  0.165  0.668
I  0.500  0.500  0.000
I  0.166  0.835  0.332
Tl  0.500  0.000  0.000

Values from the calculation:
Electronic total energy (eV/cell): -55.87
Theoretical density (g/cm3): 6.8
Uncorrected formation energy (eV/atom): -0.81

GaHg2Pb2 | PBE | optimized geometry

a = 4.053 Å, b = 4.053 Å, c = 9.277 Å
α = 77.38°, β = 77.38°, γ = 90.00°
Positions (direct):
Hg  0.250  0.750  0.500
Hg  0.750  0.250  0.500
Ga  0.000  0.000  0.000
Pb  0.595  0.595  0.810
Pb  0.405  0.405  0.190

Values from the calculation:
Electronic total energy (eV/cell): -10.33
Theoretical density (g/cm3): 10.1
Calculated formation energy (eV per formula unit): 0.7